[1]
# HgAs4Rh

A geometry-optimized HgAs4Rh structure (PBE, Alexandria via LeMat-Bulk).

POSCAR file:
```
HgAs4Rh
1.0
-1.7377 -4.1958 -3.1615
-3.7518 0.8947 -3.9677
1.4886 -0.2541 -5.3234
Hg As Rh
1 4 1
Direct
0.7500 0.7500 0.7500
0.8632 0.3789 0.3789
0.3789 0.3789 0.8632
0.3789 0.8632 0.3789
0.3789 0.3789 0.3789
0.0000 0.0000 0.0000
```

Computed properties:
- SG: No. 216
- Formation energy from the elements: 3.55 eV per formula unit
- Density: 8.36 Mg/m³
- V: 119.8 Å³ per cell

---

[2]
# Al2CdRh

A geometry-optimized Al2CdRh structure (PBE, Alexandria via LeMat-Bulk).

POSCAR file:
```
Al2CdRh
1.0
-2.3799 4.2028 0.6525
-4.5616 1.6705 -0.3937
-1.8601 -0.0265 3.9429
Rh Al Cd
1 2 1
Direct
0.2619 0.2619 0.1744
0.9835 0.9835 0.0553
0.7477 0.7477 0.7491
0.5069 0.5069 0.5212
```

Computed properties:
- SG: No. 8
- Formation energy from the elements: -1.34 eV per formula unit
- Density: 6.87 Mg/m³
- V: 65.1 Å³ per cell

---

[3]
# TlSn3Se6

A geometry-optimized TlSn3Se6 structure (PBE, Alexandria via LeMat-Bulk).

POSCAR file:
```
TlSn3Se6
1.0
3.9070 0.0000 0.0000
0.0000 11.8887 -3.4056
0.0000 0.2824 14.2200
Tl Sn Se
2 6 12
Direct
0.7500 0.6279 0.9112
0.2500 0.3721 0.0888
0.7500 0.4276 0.5840
0.2500 0.5724 0.4160
0.7500 0.7044 0.2317
0.2500 0.2956 0.7683
0.7500 0.0082 0.8841
0.2500 0.9918 0.1159
0.7500 0.2242 0.6281
0.2500 0.7758 0.3719
0.7500 0.1401 0.0668
0.2500 0.8599 0.9332
0.7500 0.6398 0.5534
0.2500 0.3602 0.4466
0.7500 0.4964 0.2752
0.2500 0.5036 0.7248
0.7500 0.3614 0.9043
0.2500 0.6386 0.0957
0.7500 0.9307 0.2271
0.2500 0.0693 0.7729
```

Computed properties:
- SG: No. 11
- Density: 5.17 Mg/m³
- ΔE_f (raw): -0.337 eV/atom
- V: 664.3 Å³ per cell

---

[4]
# PICl8

A geometry-optimized PICl8 structure (PBE, Alexandria via LeMat-Bulk).

POSCAR file:
```
PICl8
1.0
-9.2427 4.9375 6.6354
6.1228 -4.4747 9.8144
6.1265 7.6699 -7.5811
Cl I P
32 4 4
Direct
0.0986 0.0608 0.9622
0.4014 0.3636 0.9622
0.5986 0.6364 0.0378
0.9014 0.9392 0.0378
0.0562 0.2114 0.7676
0.4438 0.2114 0.1552
0.9438 0.7886 0.2324
0.5562 0.7886 0.8448
0.4014 0.8431 0.4417
0.0986 0.5403 0.4417
0.9014 0.4597 0.5583
0.5986 0.1569 0.5583
0.2500 0.8893 0.6393
0.7500 0.1107 0.3607
0.2500 0.4945 0.2445
0.7500 0.5055 0.7555
0.7320 0.9047 0.4814
0.7680 0.2494 0.1727
0.9233 0.7506 0.5186
0.5767 0.0953 0.8273
0.2680 0.0953 0.5186
0.2320 0.7506 0.8273
0.0767 0.2494 0.4814
0.4233 0.9047 0.1727
0.7683 0.7895 0.6742
0.7317 0.4059 0.0212
0.6153 0.5941 0.3258
0.8847 0.2105 0.9788
0.2317 0.2105 0.3258
0.2683 0.5941 0.9788
0.3847 0.4059 0.6742
0.1153 0.7895 0.0212
0.2500 0.2103 0.9603
0.7500 0.7897 0.0397
0.2500 0.6889 0.4389
0.7500 0.3111 0.5611
0.7594 0.7594 0.5000
0.7406 0.2406 0.0000
0.2406 0.2406 0.5000
0.2594 0.7594 0.0000
```

Computed properties:
- SG: No. 74
- Density: 2.09 Mg/m³
- ΔE_f (raw): -0.468 eV/atom
- V: 1401.8 Å³ per cell

---

[5]
# Mn2Co2Cu

A geometry-optimized Mn2Co2Cu structure (PBE, Alexandria via LeMat-Bulk).

POSCAR file:
```
Mn2Co2Cu
1.0
6.8057 0.0000 0.0000
0.0000 6.8057 0.0000
0.0000 0.0000 2.4537
Mn Co Cu
4 4 2
Direct
0.3802 0.8802 0.0000
0.8802 0.6198 0.0000
0.6198 0.1198 0.0000
0.1198 0.3802 0.0000
0.1715 0.6715 0.5000
0.6715 0.8285 0.5000
0.8285 0.3285 0.5000
0.3285 0.1715 0.5000
0.0000 0.0000 0.0000
0.5000 0.5000 0.0000
```

Computed properties:
- SG: No. 127
- Formation energy from the elements: 1.43 eV per formula unit
- Density: 8.51 Mg/m³
- V: 113.7 Å³ per cell

---

[6]
# TiTl2Bi

A geometry-optimized TiTl2Bi structure (PBE, Alexandria via LeMat-Bulk).

POSCAR file:
```
TiTl2Bi
1.0
0.0000 3.7889 3.7889
3.7889 0.0000 3.7889
3.7889 3.7889 0.0000
Tl Bi Ti
2 1 1
Direct
0.2500 0.2500 0.2500
0.7500 0.7500 0.7500
0.5000 0.5000 0.5000
0.0000 0.0000 0.0000
```

Computed properties:
- SG: No. 225
- ΔE to the lowest computed polymorph: 0.045 eV/atom
- Formation energy from the elements: 1.61 eV per formula unit
- Density: 10.16 Mg/m³
- V: 108.8 Å³ per cell

---

[7]
# Zr4FeCo3

A geometry-optimized Zr4FeCo3 structure (PBE, Alexandria via LeMat-Bulk).

POSCAR file:
```
Zr4FeCo3
1.0
4.3638 0.0000 -1.1779
-0.3138 4.3566 -1.1624
-0.4259 -0.4893 7.0940
Co Fe Zr
3 1 4
Direct
0.0000 0.5000 0.0000
0.7499 0.2499 0.4997
0.2501 0.7501 0.5003
0.5000 0.0000 0.0000
0.3754 0.3753 0.7508
0.6246 0.6247 0.2492
0.1246 0.1247 0.2493
0.8754 0.8753 0.7507
```

Computed properties:
- SG: No. 139
- Formation energy from the elements: -2.11 eV per formula unit
- Density: 7.63 Mg/m³
- V: 130.0 Å³ per cell

---

[8]
# Hf5ScCo6

A geometry-optimized Hf5ScCo6 structure (PBE, Alexandria via LeMat-Bulk).

POSCAR file:
```
Hf5ScCo6
1.0
-0.5320 -4.3661 0.6340
6.2731 -0.6434 0.8327
-1.0308 -1.1705 6.8609
Sc Hf Co
1 5 6
Direct
0.0000 0.0000 0.0000
0.6662 0.5000 0.6675
0.3347 0.0000 0.3308
0.0000 0.5000 0.0000
0.6653 0.0000 0.6692
0.3338 0.5000 0.3325
0.8307 0.7487 0.3388
0.8307 0.2513 0.3388
0.5000 0.2564 0.0000
0.5000 0.7436 0.0000
0.1693 0.7487 0.6612
0.1693 0.2513 0.6612
```

Computed properties:
- SG: No. 10
- Formation energy from the elements: -4.74 eV per formula unit
- Density: 11.38 Mg/m³
- V: 188.4 Å³ per cell

---

[9]
# NaFe3Os

A geometry-optimized NaFe3Os structure (PBE, Alexandria via LeMat-Bulk).

POSCAR file:
```
NaFe3Os
1.0
-3.2718 -2.0940 1.7129
2.6487 -3.0265 1.3594
0.5506 2.1163 3.6389
Na Os Fe
1 1 3
Direct
0.0000 0.0000 0.0000
0.5000 0.5000 0.5000
0.0000 0.5000 0.0000
0.0000 0.0000 0.5000
0.5000 0.0000 0.0000
```

Computed properties:
- SG: No. 221
- ΔE to the lowest computed polymorph: 0.956 eV/atom
- Formation energy from the elements: 10.96 eV per formula unit
- Density: 8.26 Mg/m³
- V: 76.5 Å³ per cell

---

[10]
# SrYSc4

A geometry-optimized SrYSc4 structure (PBE, Alexandria via LeMat-Bulk).

POSCAR file:
```
SrYSc4
1.0
0.0000 4.5273 4.5273
4.5273 0.0000 4.5273
4.5273 4.5273 0.0000
Sr Y Sc
1 1 4
Direct
0.7500 0.7500 0.7500
0.0000 0.0000 0.0000
0.8886 0.3705 0.3705
0.3705 0.3705 0.8886
0.3705 0.8886 0.3705
0.3705 0.3705 0.3705
```

Computed properties:
- SG: No. 216
- Formation energy from the elements: 1.67 eV per formula unit
- Density: 3.19 Mg/m³
- V: 185.6 Å³ per cell

---

[11]
# La4PdS2Cl

A geometry-optimized La4PdS2Cl structure (PBE, Alexandria via LeMat-Bulk).

POSCAR file:
```
La4PdS2Cl
1.0
-1.0047 -1.6468 3.6526
-2.5120 -6.0793 -3.4318
5.4138 -4.8124 -0.6804
La Pd S Cl
4 1 2 1
Direct
0.0000 0.7567 0.7532
0.0000 0.2433 0.2468
0.5000 0.7688 0.2443
0.5000 0.2312 0.7557
0.5000 0.5000 0.0000
0.0000 0.0000 0.0000
0.5000 0.0000 0.5000
0.0000 0.5000 0.5000
```

Computed properties:
- SG: No. 10
- Density: 6.02 Mg/m³
- ΔE_f (raw): -1.658 eV/atom
- V: 210.2 Å³ per cell

---

[12]
# LiVGe2

A geometry-optimized LiVGe2 structure (PBE, Alexandria via LeMat-Bulk).

POSCAR file:
```
LiVGe2
1.0
-1.9302 -0.7482 -3.0432
-0.7226 -3.4927 -0.9087
-5.5756 -1.2037 1.6065
Li V Ge
1 1 2
Direct
0.4936 0.4936 0.5191
0.6704 0.6704 0.9887
0.0865 0.0865 0.7405
0.2494 0.2494 0.2517
```

Computed properties:
- SG: No. 160
- ΔE to the lowest computed polymorph: 0.127 eV/atom
- Formation energy from the elements: 0.02 eV per formula unit
- Density: 5.20 Mg/m³
- V: 64.9 Å³ per cell

---

[13]
# U3Ag3Se8

A geometry-optimized U3Ag3Se8 structure (PBE, Alexandria via LeMat-Bulk).

POSCAR file:
```
U3Ag3Se8
1.0
-4.8550 6.4361 0.1030
-6.3419 -0.1466 -4.9763
-7.2554 -0.9693 3.3801
U Ag Se
3 3 8
Direct
0.5000 0.0000 0.0000
0.0000 0.5000 0.0000
0.0000 0.0000 0.5000
0.3852 0.3852 0.3852
0.6148 0.6148 0.6148
0.0000 0.0000 0.0000
0.7556 0.7556 0.7556
0.2264 0.7516 0.7516
0.7516 0.2264 0.7516
0.7516 0.7516 0.2264
0.2444 0.2444 0.2444
0.7736 0.2484 0.2484
0.2484 0.7736 0.2484
0.2484 0.2484 0.7736
```

Computed properties:
- SG: No. 166
- Density: 6.99 Mg/m³
- ΔE_f (raw): -0.760 eV/atom
- V: 396.7 Å³ per cell

---

[14]
# Rb3NaGa

A geometry-optimized Rb3NaGa structure (PBE, Alexandria via LeMat-Bulk).

POSCAR file:
```
Rb3NaGa
1.0
-4.6835 4.4702 2.5790
-4.0595 -5.3414 1.8864
3.1866 -0.2346 6.1935
Na Ga Rb
1 1 3
Direct
0.5000 0.5000 0.5000
0.0000 0.0000 0.0000
0.0000 0.5000 0.0000
0.0000 0.0000 0.5000
0.5000 0.0000 0.0000
```

Computed properties:
- SG: No. 221
- ΔE to the lowest computed polymorph: 0.000 eV/atom
- Formation energy from the elements: 1.03 eV per formula unit
- Density: 1.71 Mg/m³
- V: 338.5 Å³ per cell

---

[15]
# K3Pm3PbO8

A geometry-optimized K3Pm3PbO8 structure (PBE, Alexandria via LeMat-Bulk).

POSCAR file:
```
K3Pm3PbO8
1.0
7.1287 0.0002 0.0000
-3.5642 6.1743 -0.0227
-0.0001 -4.0944 6.3655
K Pm Pb O
3 3 1 8
Direct
0.0000 0.0000 0.0000
0.0000 0.5000 0.0000
0.5000 0.5000 0.0000
0.5000 0.0000 0.5000
0.5000 0.5000 0.5000
0.0000 0.5000 0.5000
0.0000 0.0000 0.5000
0.2724 0.5448 0.3173
0.7276 0.4552 0.6827
0.7811 0.5622 0.3170
0.2189 0.4378 0.6830
0.7812 0.0358 0.3171
0.2188 0.9642 0.6829
0.2546 0.0358 0.3170
0.7454 0.9642 0.6829
```

Computed properties:
- SG: No. 166
- Density: 5.27 Mg/m³
- ΔE_f (raw): -2.302 eV/atom
- V: 279.5 Å³ per cell

---

[16]
# CeEr2Tm4

A geometry-optimized CeEr2Tm4 structure (PBE, Alexandria via LeMat-Bulk).

POSCAR file:
```
CeEr2Tm4
1.0
5.5433 0.0000 0.0000
0.0000 3.5707 0.0000
0.0000 -1.7854 11.1436
Ce Er Tm
1 2 4
Direct
0.0000 0.5000 0.0000
0.5000 0.0697 0.1394
0.5000 0.9303 0.8606
0.5000 0.6921 0.3842
0.0000 0.8298 0.6597
0.5000 0.3079 0.6158
0.0000 0.1702 0.3403
```

Computed properties:
- SG: No. 65
- ΔE to the lowest computed polymorph: 0.182 eV/atom
- Formation energy from the elements: 1.48 eV per formula unit
- Density: 8.66 Mg/m³
- V: 220.6 Å³ per cell

---

[17]
# Ag5Te2Cl12

A geometry-optimized Ag5Te2Cl12 structure (PBE, Alexandria via LeMat-Bulk).

POSCAR file:
```
Ag5Te2Cl12
1.0
8.0216 0.0000 0.0000
-4.0108 7.1415 -0.0172
0.0000 -2.5149 9.3035
Ag Te Cl
5 2 12
Direct
0.2663 0.5327 0.5882
0.2952 0.5904 0.2971
0.0000 0.0000 0.5000
0.7048 0.4096 0.7029
0.7337 0.4673 0.4118
0.7514 0.0000 0.0000
0.2486 0.0000 0.0000
0.9598 0.9196 0.1580
0.0758 0.6497 0.8483
0.5740 0.6497 0.8483
0.1100 0.7325 0.4623
0.6225 0.7325 0.4623
0.5419 0.0838 0.8411
0.4581 0.9162 0.1589
0.8900 0.2675 0.5377
0.3775 0.2675 0.5377
0.9242 0.3503 0.1517
0.4260 0.3503 0.1517
0.0402 0.0804 0.8420
```

Computed properties:
- SG: No. 12
- Density: 3.80 Mg/m³
- ΔE_f (raw): -0.396 eV/atom
- V: 532.6 Å³ per cell

---

[18]
# AcTlIn2

A geometry-optimized AcTlIn2 structure (PBE, Alexandria via LeMat-Bulk).

POSCAR file:
```
AcTlIn2
1.0
-0.4830 -3.3053 -4.4926
-1.8265 -5.2603 0.5784
-5.0717 -1.4262 -1.8935
Ac Tl In
1 1 2
Direct
0.0000 0.0000 0.0000
0.5000 0.5000 0.5000
0.2500 0.2500 0.2500
0.7500 0.7500 0.7500
```

Computed properties:
- SG: No. 225
- ΔE to the lowest computed polymorph: 0.156 eV/atom
- Formation energy from the elements: -0.84 eV per formula unit
- Density: 8.85 Mg/m³
- V: 124.1 Å³ per cell

---

[19]
# BeCuOs2O

A geometry-optimized BeCuOs2O structure (PBE, Alexandria via LeMat-Bulk).

POSCAR file:
```
BeCuOs2O
1.0
-0.9690 -4.2876 -1.0234
3.3300 -1.0343 1.1805
-1.6625 -0.6150 4.1506
Be Os O Cu
1 2 1 1
Direct
0.0000 0.5000 0.0000
0.0000 0.0000 0.5000
0.5000 0.0000 0.0000
0.5000 0.5000 0.5000
0.0000 0.0000 0.0000
```

Computed properties:
- SG: No. 123
- Density: 10.39 Mg/m³
- ΔE_f (raw): 2.148 eV/atom
- V: 75.0 Å³ per cell

---

[20]
# Na4HBr3

A geometry-optimized Na4HBr3 structure (PBE, Alexandria via LeMat-Bulk).

POSCAR file:
```
Na4HBr3
1.0
7.0833 0.0626 0.0000
-2.4246 6.7252 0.0000
0.0000 0.0000 8.3197
Na H Br
8 2 6
Direct
0.9950 0.2515 0.6317
0.5023 0.2147 0.8970
0.4950 0.2515 0.3683
0.0023 0.2147 0.1030
0.9977 0.7853 0.8970
0.5050 0.7485 0.6317
0.4977 0.7853 0.1030
0.0050 0.7485 0.3683
0.7500 0.0000 0.9041
0.2500 0.0000 0.0959
0.7500 0.0000 0.3741
0.2500 0.0000 0.6259
0.7500 0.5000 0.6357
0.7500 0.5000 0.1238
0.2500 0.5000 0.3643
0.2500 0.5000 0.8762
```

Computed properties:
- SG: No. 13
- DFT total energy: -46.1 eV/cell
- Density: 2.78 Mg/m³
- V: 397.6 Å³ per cell

---

[21]
# CaScRe2

A geometry-optimized CaScRe2 structure (PBE, Alexandria via LeMat-Bulk).

POSCAR file:
```
CaScRe2
1.0
4.6338 0.0000 0.0000
0.0000 2.8513 0.0133
0.0000 1.1287 6.1036
Sc Re Ca
1 2 1
Direct
0.5000 0.2500 0.2500
0.0000 0.9509 0.0616
0.0000 0.5491 0.4384
0.5000 0.7500 0.7500
```

Computed properties:
- SG: No. 10
- ΔE to the lowest computed polymorph: 0.333 eV/atom
- Formation energy from the elements: 1.83 eV per formula unit
- Density: 9.43 Mg/m³
- V: 80.6 Å³ per cell

---

[22]
# V2HgRu2

A geometry-optimized V2HgRu2 structure (PBE, Alexandria via LeMat-Bulk).

POSCAR file:
```
V2HgRu2
1.0
-2.0669 3.3639 0.6329
-2.9097 -2.1161 1.7448
-0.0987 1.2089 5.8835
Ru Hg V
2 1 2
Direct
0.3798 0.3798 0.2404
0.6202 0.6202 0.7596
0.0000 0.0000 0.0000
0.7500 0.2500 0.5000
0.2500 0.7500 0.5000
```

Computed properties:
- SG: No. 139
- ΔE to the lowest computed polymorph: 0.099 eV/atom
- Formation energy from the elements: 0.67 eV per formula unit
- Density: 9.89 Mg/m³
- V: 84.7 Å³ per cell